No. 1
## CdAgRu2 (PBE-GGA)

Data for a relaxed structure of CdAgRu2.

Properties
formation energy: 0.593 eV/atom
E_tot: -19.947 eV per formula unit
Fermi-level density of states: 3.118 states/eV/f.u.

Cell: 2.785 2.785 8.592 Å, 90.00 90.00 90.00°
Positions (direct):
Ag 0.500 0.500 0.250
Ru 0.000 0.000 0.497
Ru 0.000 0.000 0.003
Cd 0.500 0.500 0.750

---

No. 2
## CoP2W (PBE-GGA)

Data for a relaxed structure of CoP2W.

Properties
formation energy: -0.271 eV/atom
E_tot: -31.962 eV per formula unit
Fermi-level density of states: 2.169 states/eV/f.u.

Cell: 5.681 5.681 5.681 Å, 147.26 147.68 46.67°
Positions (direct):
Co 0.213 0.713 0.500
W 0.455 0.455 0.000
P 0.053 0.053 0.000
P 0.779 0.279 0.500

---

Q: Look up the Fermi-level density of states of the second one.
A: 2.169 states/eV/f.u.